First-principles (PBE) data for a geometry-optimized CrOsPtCl2 structure, as listed in Alexandria via LeMat-Bulk.

```
CrOsPtCl2
1.0
4.2110 0.0000 0.0000
0.0000 5.5068 0.0000
0.0000 0.0000 4.2110
Cl Cr Os Pt
2 1 1 1
Direct
0.5000 0.0000 0.0000 Cl
0.0000 0.0000 0.5000 Cl
0.0000 0.0000 0.0000 Cr
0.5000 0.5000 0.5000 Os
0.0000 0.5000 0.0000 Pt
```

- SG = P4/mmm (123)
- E_form (uncorrected) (meV per atom) = 1178.7
- N(E_F) (states/eV per cell) = 6.35

---

First-principles (PBE) data for a geometry-optimized CrOsSCl2 structure, as listed in Alexandria via LeMat-Bulk.

```
CrOsSCl2
1.0
-3.3693 2.3691 2.0524
-0.3929 -3.3087 3.1742
3.0908 2.1358 2.6088
Cr Cl S Os
1 2 1 1
Direct
0.0000 0.0000 0.0000 Cr
0.5000 0.0000 0.0000 Cl
0.0000 0.5000 0.0000 Cl
0.0000 0.0000 0.5000 S
0.5000 0.5000 0.5000 Os
```

- SG = P4/mmm (123)
- E_form (uncorrected) (meV per atom) = 1065.7
- polymorph energy (0 for the lowest one) (eV/atom) = 0.593
- N(E_F) (states/eV per cell) = 6.28

---

First-principles (PBE) data for a geometry-optimized CrOsSCl2 structure, as listed in Alexandria via LeMat-Bulk.

```
CrOsSCl2
1.0
-4.1761 2.6795 0.8357
-1.7215 -3.6285 3.0312
1.9287 1.9399 3.4175
Cl S Os Cr
2 1 1 1
Direct
0.5000 0.0000 0.0000 Cl
0.0000 0.5000 0.0000 Cl
0.0000 0.0000 0.5000 S
0.0000 0.0000 0.0000 Os
0.5000 0.5000 0.5000 Cr
```

- SG = P4/mmm (123)
- E_form (uncorrected) (meV per atom) = 472.6
- polymorph energy (0 for the lowest one) (eV/atom) = 0.000
- N(E_F) (states/eV per cell) = 4.31

---

First-principles (PBE) data for a geometry-optimized CrOsS2Cl structure, as listed in Alexandria via LeMat-Bulk.

```
CrOsS2Cl
1.0
4.6351 0.0000 0.0000
0.0000 4.6351 0.0000
0.0000 0.0000 4.5191
Os S Cl Cr
1 2 1 1
Direct
0.5000 0.5000 0.5000 Os
0.5000 0.0000 0.0000 S
0.0000 0.5000 0.0000 S
0.0000 0.0000 0.5000 Cl
0.0000 0.0000 0.0000 Cr
```

- SG = P4/mmm (123)
- E_form (uncorrected) (meV per atom) = 1001.9
- polymorph energy (0 for the lowest one) (eV/atom) = 0.443
- N(E_F) (states/eV per cell) = 6.94